Entry 1:
! Se2BrCl | Alexandria | meta-GGA SCAN | single point on PBEsol structure; values from VASP
! - Space-group type: No. 8
&SYSTEM
  ibrav = 0, nat = 4, ntyp = 3
/
ATOMIC_SPECIES
Se 78.96 Se.upf
Br 79.90 Br.upf
Cl 35.45 Cl.upf
CELL_PARAMETERS angstrom
3.680 -1.802 0.000
3.680 1.802 0.000
-1.530 0.000 7.795
ATOMIC_POSITIONS angstrom
Se 0.000 0.000 0.000
Se 4.553 0.000 1.560
Br -0.065 0.000 5.892
Cl 1.566 0.000 3.280

Entry 2:
! SeBrCl | Alexandria | meta-GGA SCAN | single point on PBEsol structure; values from VASP
! - Polymorph energy (0 for the lowest one): 155 meV/atom
! - Space-group type: No. 44
&SYSTEM
  ibrav = 0, nat = 3, ntyp = 3
/
ATOMIC_SPECIES
Se 78.96 Se.upf
Br 79.90 Br.upf
Cl 35.45 Cl.upf
CELL_PARAMETERS angstrom
-1.420 3.600 4.172
1.420 -3.600 4.172
1.420 3.600 -4.172
ATOMIC_POSITIONS angstrom
Se 0.000 0.000 0.000
Br 0.000 0.000 5.573
Cl 0.000 0.000 2.163

Entry 3:
! SeBrCl | Alexandria | meta-GGA SCAN | single point on PBEsol structure; values from VASP
! - Polymorph energy (0 for the lowest one): 990 meV/atom
! - Space-group type: No. 216
&SYSTEM
  ibrav = 0, nat = 3, ntyp = 3
/
ATOMIC_SPECIES
Se 78.96 Se.upf
Br 79.90 Br.upf
Cl 35.45 Cl.upf
CELL_PARAMETERS angstrom
0.000 3.374 3.374
3.374 0.000 3.374
3.374 3.374 0.000
ATOMIC_POSITIONS angstrom
Se 0.000 0.000 0.000
Br 1.687 1.687 1.687
Cl 3.374 3.374 3.374

Entry 4:
! SeBr2Cl | Alexandria | meta-GGA SCAN | single point on PBEsol structure; values from VASP
! - Polymorph energy (0 for the lowest one): 312 meV/atom
! - Space-group type: No. 225
&SYSTEM
  ibrav = 0, nat = 4, ntyp = 3
/
ATOMIC_SPECIES
Se 78.96 Se.upf
Br 79.90 Br.upf
Cl 35.45 Cl.upf
CELL_PARAMETERS angstrom
0.000 3.484 3.484
3.484 0.000 3.484
3.484 3.484 0.000
ATOMIC_POSITIONS angstrom
Se 0.000 0.000 0.000
Br 1.742 1.742 1.742
Br 5.227 5.227 5.227
Cl 3.484 3.484 3.484

Entry 5:
! SiSeBr2Cl | Alexandria | meta-GGA SCAN | single point on PBEsol structure; values from VASP
! - Space-group type: No. 123
&SYSTEM
  ibrav = 0, nat = 5, ntyp = 4
/
ATOMIC_SPECIES
Si 28.09 Si.upf
Se 78.96 Se.upf
Br 79.90 Br.upf
Cl 35.45 Cl.upf
CELL_PARAMETERS angstrom
5.087 0.000 0.000
0.000 5.087 0.000
0.000 0.000 5.054
ATOMIC_POSITIONS angstrom
Si 0.000 0.000 0.000
Se 2.543 2.543 0.000
Br 0.000 2.543 2.527
Br 2.543 0.000 2.527
Cl 2.543 2.543 2.527

Entry 6:
! SnSeBr2Cl | Alexandria | meta-GGA SCAN | single point on PBEsol structure; values from VASP
! - Space-group type: No. 123
&SYSTEM
  ibrav = 0, nat = 5, ntyp = 4
/
ATOMIC_SPECIES
Sn 118.71 Sn.upf
Se 78.96 Se.upf
Br 79.90 Br.upf
Cl 35.45 Cl.upf
CELL_PARAMETERS angstrom
5.120 0.000 0.000
0.000 5.120 0.000
0.000 0.000 5.142
ATOMIC_POSITIONS angstrom
Sn 0.000 0.000 0.000
Se 2.560 2.560 0.000
Br 0.000 2.560 2.571
Br 2.560 0.000 2.571
Cl 2.560 2.560 2.571

Formation energy from raw total energies values, unit meV/atom, following the record order: -119; 51; 886; 637; 931; 364.